The following is a DFT calculation (GGA-PBE) of a geometry-optimized MoRuSe structure.

Cell lengths 4.6046, 4.6046, 4.6046 Å; angles 141.74, 128.88, 65.61 degrees
Closest atoms and distances in Å follow each position.
Atoms (fractional coordinates):
Mo1 0.9941 0.9941 0.0000  5 Se 2.54-2.83, 5 Ru 2.68-2.77
Ru1 0.3400 0.3400 0.0000  1 Se 2.52, 5 Mo 2.68-2.77
Se1 0.6659 0.6659 0.0000  1 Ru 2.52, 1 Mo 2.54

Properties
DFT total energy in eV per atom: -7.59
SG: No. 44
Formation energy without anion corrections in meV/atom: 269
Crystal system: orthorhombic